No. 1
A plane-wave DFT calculation with GGA-PBE was carried out for HfAg2PdPb after structural relaxation.

CIF file:
```
data_HfAg2PdPb
_chemical_formula_sum 'Hf1 Ag2 Pd1 Pb1'
_cell_length_a 5.288
_cell_length_b 4.887
_cell_length_c 5.288
_cell_angle_alpha 90.00
_cell_angle_beta 90.00
_cell_angle_gamma 90.00
_symmetry_space_group_name_H-M 'P 1'
_symmetry_Int_Tables_number 1
_symmetry_space_group_name_Hall 'P 1'
loop_
_atom_site_label
_atom_site_type_symbol
_atom_site_fract_x
_atom_site_fract_y
_atom_site_fract_z
Pb1 Pb 0.500 0.500 0.500
Hf1 Hf 0.000 0.000 0.000
Ag1 Ag 0.000 0.000 0.500
Ag2 Ag 0.500 0.000 0.000
Pd1 Pd 0.000 0.500 0.000
```

**Space group**: No. 123
**ΔH_f (0 K)**: 0.75 eV/atom
**Density of states at the Fermi level**: 0.89 states/eV per atom

***

No. 2
A plane-wave DFT calculation with GGA-PBE was carried out for HfScAgPb after structural relaxation.

CIF file:
```
data_HfScAgPb
_chemical_formula_sum 'Hf1 Sc1 Ag1 Pb1'
_cell_length_a 4.968
_cell_length_b 4.968
_cell_length_c 4.968
_cell_angle_alpha 60.00
_cell_angle_beta 60.00
_cell_angle_gamma 60.00
_symmetry_space_group_name_H-M 'P 1'
_symmetry_Int_Tables_number 1
_symmetry_space_group_name_Hall 'P 1'
loop_
_atom_site_label
_atom_site_type_symbol
_atom_site_fract_x
_atom_site_fract_y
_atom_site_fract_z
Ag1 Ag 0.250 0.250 0.250
Sc1 Sc 0.500 0.500 0.500
Hf1 Hf 0.000 0.000 0.000
Pb1 Pb 0.750 0.750 0.750
```

**Space group**: No. 216
**ΔH_f (0 K)**: -0.08 eV/atom
**Density of states at the Fermi level**: 1.10 states/eV per atom

***

No. 3
A plane-wave DFT calculation with GGA-PBE was carried out for HfAgPd after structural relaxation.

CIF file:
```
data_HfAgPd
_chemical_formula_sum 'Hf4 Ag4 Pd4'
_cell_length_a 7.171
_cell_length_b 3.444
_cell_length_c 9.457
_cell_angle_alpha 90.00
_cell_angle_beta 112.38
_cell_angle_gamma 90.00
_symmetry_space_group_name_H-M 'P 1'
_symmetry_Int_Tables_number 1
_symmetry_space_group_name_Hall 'P 1'
loop_
_atom_site_label
_atom_site_type_symbol
_atom_site_fract_x
_atom_site_fract_y
_atom_site_fract_z
Ag1 Ag 0.079 0.500 0.165
Hf1 Hf 0.272 0.500 0.508
Ag2 Ag 0.079 0.000 0.665
Ag3 Ag 0.921 0.500 0.835
Pd1 Pd 0.586 0.500 0.164
Pd2 Pd 0.414 0.500 0.836
Ag4 Ag 0.921 0.000 0.335
Hf2 Hf 0.728 0.500 0.492
Pd3 Pd 0.414 0.000 0.336
Pd4 Pd 0.586 0.000 0.664
Hf3 Hf 0.728 0.000 0.992
Hf4 Hf 0.272 0.000 0.008
```

**Space group**: No. 12
**ΔH_f (0 K)**: -0.49 eV/atom
**Energy relative to the lowest polymorph listed for this composition**: 0.01 eV per formula unit
**Density of states at the Fermi level**: 0.27 states/eV per atom

***

No. 4
A plane-wave DFT calculation with GGA-PBE was carried out for Hf4AgPd after structural relaxation.

CIF file:
```
data_Hf4AgPd
_chemical_formula_sum 'Hf4 Ag1 Pd1'
_cell_length_a 3.245
_cell_length_b 3.245
_cell_length_c 11.493
_cell_angle_alpha 90.00
_cell_angle_beta 90.00
_cell_angle_gamma 90.00
_symmetry_space_group_name_H-M 'P 1'
_symmetry_Int_Tables_number 1
_symmetry_space_group_name_Hall 'P 1'
loop_
_atom_site_label
_atom_site_type_symbol
_atom_site_fract_x
_atom_site_fract_y
_atom_site_fract_z
Hf1 Hf 0.000 0.000 0.653
Hf2 Hf 0.000 0.000 0.347
Pd1 Pd 0.500 0.500 0.500
Ag1 Ag 0.000 0.000 0.000
Hf3 Hf 0.500 0.500 0.171
Hf4 Hf 0.500 0.500 0.829
```

**Space group**: No. 123
**ΔH_f (0 K)**: -0.32 eV/atom
**Density of states at the Fermi level**: 0.77 states/eV per atom

***

No. 5
A plane-wave DFT calculation with GGA-PBE was carried out for HfAg3Pd6 after structural relaxation.

CIF file:
```
data_HfAg3Pd6
_chemical_formula_sum 'Hf2 Ag6 Pd12'
_cell_length_a 4.117
_cell_length_b 8.841
_cell_length_c 9.139
_cell_angle_alpha 92.72
_cell_angle_beta 90.00
_cell_angle_gamma 90.00
_symmetry_space_group_name_H-M 'P 1'
_symmetry_Int_Tables_number 1
_symmetry_space_group_name_Hall 'P 1'
loop_
_atom_site_label
_atom_site_type_symbol
_atom_site_fract_x
_atom_site_fract_y
_atom_site_fract_z
Ag1 Ag 0.750 0.654 0.201
Ag2 Ag 0.750 0.448 0.599
Ag3 Ag 0.750 0.250 0.999
Pd1 Pd 0.250 0.235 0.499
Pd2 Pd 0.250 0.450 0.100
Pd3 Pd 0.250 0.648 0.700
Pd4 Pd 0.750 0.550 0.900
Ag4 Ag 0.250 0.346 0.799
Pd5 Pd 0.250 0.864 0.313
Hf1 Hf 0.250 0.934 0.627
Pd6 Pd 0.750 0.352 0.300
Pd7 Pd 0.250 0.049 0.901
Pd8 Pd 0.750 0.136 0.687
Pd9 Pd 0.250 0.154 0.200
Ag5 Ag 0.250 0.750 0.001
Pd10 Pd 0.750 0.846 0.800
Hf2 Hf 0.750 0.066 0.373
Ag6 Ag 0.250 0.552 0.401
Pd11 Pd 0.750 0.765 0.501
Pd12 Pd 0.750 0.951 0.099
```

**Space group**: No. 11
**ΔH_f (0 K)**: -0.33 eV/atom
**Density of states at the Fermi level**: 0.41 states/eV per atom

***

No. 6
A plane-wave DFT calculation with GGA-PBE was carried out for HfAgPd6 after structural relaxation.

CIF file:
```
data_HfAgPd6
_chemical_formula_sum 'Hf1 Ag1 Pd6'
_cell_length_a 4.000
_cell_length_b 4.000
_cell_length_c 8.060
_cell_angle_alpha 90.00
_cell_angle_beta 90.00
_cell_angle_gamma 90.00
_symmetry_space_group_name_H-M 'P 1'
_symmetry_Int_Tables_number 1
_symmetry_space_group_name_Hall 'P 1'
loop_
_atom_site_label
_atom_site_type_symbol
_atom_site_fract_x
_atom_site_fract_y
_atom_site_fract_z
Pd1 Pd 0.000 0.500 0.256
Pd2 Pd 0.500 0.000 0.744
Pd3 Pd 0.500 0.500 0.500
Pd4 Pd 0.000 0.500 0.744
Ag1 Ag 0.000 0.000 0.000
Hf1 Hf 0.000 0.000 0.500
Pd5 Pd 0.500 0.000 0.256
Pd6 Pd 0.500 0.500 0.000
```

**Space group**: No. 123
**ΔH_f (0 K)**: -0.46 eV/atom
**Energy relative to the lowest polymorph listed for this composition**: 0.00 eV per formula unit
**Density of states at the Fermi level**: 0.99 states/eV per atom

***

No. 7
A plane-wave DFT calculation with GGA-PBE was carried out for HfAgPd after structural relaxation.

CIF file:
```
data_HfAgPd
_chemical_formula_sum 'Hf1 Ag1 Pd1'
_cell_length_a 2.891
_cell_length_b 4.625
_cell_length_c 4.625
_cell_angle_alpha 120.00
_cell_angle_beta 90.00
_cell_angle_gamma 90.00
_symmetry_space_group_name_H-M 'P 1'
_symmetry_Int_Tables_number 1
_symmetry_space_group_name_Hall 'P 1'
loop_
_atom_site_label
_atom_site_type_symbol
_atom_site_fract_x
_atom_site_fract_y
_atom_site_fract_z
Ag1 Ag 0.375 0.667 0.333
Hf1 Hf 0.967 0.000 0.000
Pd1 Pd 0.658 0.333 0.667
```

**Space group**: No. 156
**ΔH_f (0 K)**: -0.29 eV/atom
**Energy relative to the lowest polymorph listed for this composition**: 0.61 eV per formula unit
**Density of states at the Fermi level**: 0.60 states/eV per atom

***

No. 8
A plane-wave DFT calculation with GGA-PBE was carried out for HfAgPd6 after structural relaxation.

CIF file:
```
data_HfAgPd6
_chemical_formula_sum 'Hf1 Ag1 Pd6'
_cell_length_a 6.964
_cell_length_b 7.564
_cell_length_c 5.141
_cell_angle_alpha 42.35
_cell_angle_beta 47.28
_cell_angle_gamma 56.72
_symmetry_space_group_name_H-M 'P 1'
_symmetry_Int_Tables_number 1
_symmetry_space_group_name_Hall 'P 1'
loop_
_atom_site_label
_atom_site_type_symbol
_atom_site_fract_x
_atom_site_fract_y
_atom_site_fract_z
Pd1 Pd 0.956 0.465 0.828
Pd2 Pd 0.537 0.751 0.666
Pd3 Pd 0.248 0.043 0.244
Hf1 Hf 0.500 0.500 0.500
Pd4 Pd 0.044 0.535 0.172
Pd5 Pd 0.463 0.249 0.334
Pd6 Pd 0.752 0.957 0.756
Ag1 Ag 0.000 0.000 0.000
```

**Space group**: No. 2
**ΔH_f (0 K)**: -0.32 eV/atom
**Energy relative to the lowest polymorph listed for this composition**: 1.17 eV per formula unit
**Density of states at the Fermi level**: 0.51 states/eV per atom

***

No. 9
A plane-wave DFT calculation with GGA-PBE was carried out for Hf2AgPd after structural relaxation.

CIF file:
```
data_Hf2AgPd
_chemical_formula_sum 'Hf2 Ag1 Pd1'
_cell_length_a 4.759
_cell_length_b 4.759
_cell_length_c 4.759
_cell_angle_alpha 60.00
_cell_angle_beta 60.00
_cell_angle_gamma 60.00
_symmetry_space_group_name_H-M 'P 1'
_symmetry_Int_Tables_number 1
_symmetry_space_group_name_Hall 'P 1'
loop_
_atom_site_label
_atom_site_type_symbol
_atom_site_fract_x
_atom_site_fract_y
_atom_site_fract_z
Hf1 Hf 0.250 0.250 0.250
Ag1 Ag 0.500 0.500 0.500
Pd1 Pd 0.000 0.000 0.000
Hf2 Hf 0.750 0.750 0.750
```

**Space group**: No. 225
**ΔH_f (0 K)**: -0.24 eV/atom
**Energy relative to the lowest polymorph listed for this composition**: 0.09 eV per formula unit
**Density of states at the Fermi level**: 1.31 states/eV per atom

***

No. 10
A plane-wave DFT calculation with GGA-PBE was carried out for HfAgPd3 after structural relaxation.

CIF file:
```
data_HfAgPd3
_chemical_formula_sum 'Hf1 Ag1 Pd3'
_cell_length_a 4.866
_cell_length_b 4.866
_cell_length_c 4.866
_cell_angle_alpha 90.00
_cell_angle_beta 90.00
_cell_angle_gamma 90.00
_symmetry_space_group_name_H-M 'P 1'
_symmetry_Int_Tables_number 1
_symmetry_space_group_name_Hall 'P 1'
loop_
_atom_site_label
_atom_site_type_symbol
_atom_site_fract_x
_atom_site_fract_y
_atom_site_fract_z
Pd1 Pd 0.000 0.000 0.500
Pd2 Pd 0.500 0.000 0.000
Hf1 Hf 0.000 0.000 0.000
Ag1 Ag 0.500 0.500 0.500
Pd3 Pd 0.000 0.500 0.000
```

**Space group**: No. 221
**ΔH_f (0 K)**: 0.54 eV/atom
**Energy relative to the lowest polymorph listed for this composition**: 4.77 eV per formula unit
**Density of states at the Fermi level**: 0.41 states/eV per atom

***

No. 11
A plane-wave DFT calculation with GGA-PBE was carried out for HfAgPd after structural relaxation.

CIF file:
```
data_HfAgPd
_chemical_formula_sum 'Hf1 Ag1 Pd1'
_cell_length_a 3.496
_cell_length_b 3.496
_cell_length_c 5.052
_cell_angle_alpha 110.25
_cell_angle_beta 110.25
_cell_angle_gamma 90.00
_symmetry_space_group_name_H-M 'P 1'
_symmetry_Int_Tables_number 1
_symmetry_space_group_name_Hall 'P 1'
loop_
_atom_site_label
_atom_site_type_symbol
_atom_site_fract_x
_atom_site_fract_y
_atom_site_fract_z
Ag1 Ag 0.616 0.616 0.232
Pd1 Pd 0.943 0.943 0.885
Hf1 Hf 0.291 0.291 0.583
```

**Space group**: No. 107
**ΔH_f (0 K)**: -0.48 eV/atom
**Energy relative to the lowest polymorph listed for this composition**: 0.04 eV per formula unit
**Density of states at the Fermi level**: 0.42 states/eV per atom

***

No. 12
A plane-wave DFT calculation with GGA-PBE was carried out for HfAgPd3 after structural relaxation.

CIF file:
```
data_HfAgPd3
_chemical_formula_sum 'Hf2 Ag2 Pd6'
_cell_length_a 2.983
_cell_length_b 7.907
_cell_length_c 9.383
_cell_angle_alpha 109.26
_cell_angle_beta 90.00
_cell_angle_gamma 100.87
_symmetry_space_group_name_H-M 'P 1'
_symmetry_Int_Tables_number 1
_symmetry_space_group_name_Hall 'P 1'
loop_
_atom_site_label
_atom_site_type_symbol
_atom_site_fract_x
_atom_site_fract_y
_atom_site_fract_z
Ag1 Ag 0.094 0.189 0.838
Pd1 Pd 0.073 0.146 0.127
Pd2 Pd 0.283 0.567 0.900
Hf1 Hf 0.664 0.328 0.357
Pd3 Pd 0.717 0.433 0.100
Ag2 Ag 0.906 0.811 0.162
Pd4 Pd 0.927 0.854 0.873
Pd5 Pd 0.161 0.322 0.595
Hf2 Hf 0.336 0.672 0.643
Pd6 Pd 0.839 0.678 0.405
```

**Space group**: No. 12
**ΔH_f (0 K)**: -0.08 eV/atom
**Energy relative to the lowest polymorph listed for this composition**: 1.64 eV per formula unit
**Density of states at the Fermi level**: 0.53 states/eV per atom

***

No. 13
A plane-wave DFT calculation with GGA-PBE was carried out for Hf6AgPd12 after structural relaxation.

CIF file:
```
data_Hf6AgPd12
_chemical_formula_sum 'Hf6 Ag1 Pd12'
_cell_length_a 6.973
_cell_length_b 6.973
_cell_length_c 6.973
_cell_angle_alpha 93.69
_cell_angle_beta 93.69
_cell_angle_gamma 93.69
_symmetry_space_group_name_H-M 'P 1'
_symmetry_Int_Tables_number 1
_symmetry_space_group_name_Hall 'P 1'
loop_
_atom_site_label
_atom_site_type_symbol
_atom_site_fract_x
_atom_site_fract_y
_atom_site_fract_z
Hf1 Hf 0.692 0.852 0.244
Hf2 Hf 0.148 0.756 0.308
Pd1 Pd 0.792 0.538 0.474
Pd2 Pd 0.370 0.037 0.131
Hf3 Hf 0.852 0.244 0.692
Pd3 Pd 0.462 0.526 0.208
Pd4 Pd 0.474 0.792 0.538
Pd5 Pd 0.037 0.131 0.370
Pd6 Pd 0.208 0.462 0.526
Pd7 Pd 0.963 0.869 0.630
Hf4 Hf 0.308 0.148 0.756
Pd8 Pd 0.131 0.370 0.037
Pd9 Pd 0.538 0.474 0.792
Pd10 Pd 0.630 0.963 0.869
Hf5 Hf 0.756 0.308 0.148
Pd11 Pd 0.526 0.208 0.462
Hf6 Hf 0.244 0.692 0.852
Pd12 Pd 0.869 0.630 0.963
Ag1 Ag 0.000 0.000 0.000
```

**Space group**: No. 148
**ΔH_f (0 K)**: -0.55 eV/atom
**Density of states at the Fermi level**: 0.47 states/eV per atom

***

Across the entries above, size of the total moment takes the values 0.0 0.0 0.0 0.0 0.0 0.0 0.0 0.0 0.0 0.0 0.0 0.0 0.0 μB/f.u., respectively.
Across the entries above, uncorrected energy takes the values -20.8 -23.1 -77.8 -49.8 -106.0 -47.7 -18.9 -46.5 -28.9 -25.7 -19.4 -57.6 -135.3 eV/cell, respectively.